Compound: Ca4AlGa2
Source: Alexandria
Functional: PBE
Structure: optimized geometry

a = 9.006 Å, b = 9.006 Å, c = 9.006 Å
α = 33.36°, β = 33.36°, γ = 33.36°
Element x y z (fractional)
Ca 0.123 0.123 0.123
Ca 0.374 0.374 0.374
Ca 0.626 0.626 0.626
Ca 0.877 0.877 0.877
Al 0.500 0.500 0.500
Ga 0.246 0.246 0.246
Ga 0.754 0.754 0.754

## Properties
As for the calculated density: 2.76 g/cm3. The calculation puts the spin magnetization at 0.000 μB/cell. For the total energy, the calculation gives -2.84 eV/atom. Its space group is No. 166. The calculation puts the energy of formation at -0.2927 eV per atom.

=====

Compound: Nd2Y3Tl4
Source: Alexandria
Functional: PBE
Structure: optimized geometry

a = 9.041 Å, b = 9.041 Å, c = 9.212 Å
α = 90.00°, β = 90.00°, γ = 132.84°
Element x y z (fractional)
Nd 0.110 0.890 0.923
Nd 0.390 0.610 0.423
Nd 0.610 0.390 0.577
Nd 0.890 0.110 0.077
Y 0.000 0.000 0.500
Y 0.037 0.463 0.750
Y 0.463 0.037 0.250
Y 0.500 0.500 0.000
Y 0.537 0.963 0.750
Y 0.963 0.537 0.250
Tl 0.187 0.813 0.542
Tl 0.222 0.278 0.750
Tl 0.278 0.222 0.250
Tl 0.313 0.687 0.042
Tl 0.687 0.313 0.958
Tl 0.722 0.778 0.750
Tl 0.778 0.722 0.250
Tl 0.813 0.187 0.458

## Properties
Its energy above the most stable polymorph in this dataset is 0.057 eV per atom. As for the calculated density: 8.26 g/cm3. The calculation puts the spin magnetization at 0.000 μB/cell. For the total energy, the calculation gives -4.53 eV/atom. Its space group is No. 64. The calculation puts the energy of formation at -0.2628 eV per atom.

=====

Compound: Pr2Cu5AgRh2
Source: Alexandria
Functional: PBE
Structure: optimized geometry

a = 9.357 Å, b = 9.357 Å, c = 4.034 Å
α = 90.00°, β = 90.00°, γ = 90.00°
Element x y z (fractional)
Pr 0.176 0.324 0.000
Pr 0.324 0.824 0.000
Pr 0.676 0.176 0.000
Pr 0.824 0.676 0.000
Cu 0.000 0.500 0.500
Cu 0.058 0.799 0.500
Cu 0.201 0.058 0.500
Cu 0.299 0.558 0.500
Cu 0.442 0.299 0.500
Cu 0.500 0.000 0.500
Cu 0.558 0.701 0.500
Cu 0.701 0.442 0.500
Cu 0.799 0.942 0.500
Cu 0.942 0.201 0.500
Ag 0.000 0.000 0.000
Ag 0.500 0.500 0.000
Rh 0.124 0.624 0.000
Rh 0.376 0.124 0.000
Rh 0.624 0.876 0.000
Rh 0.876 0.376 0.000

## Properties
As for the calculated density: 8.59 g/cm3. The calculation puts the spin magnetization at 0.000 μB/cell. For the total energy, the calculation gives -4.92 eV/atom. Its space group is No. 127. The calculation puts the energy of formation at -0.1652 eV per atom.